VASP calculation (PBE+U) on a relaxed NiPAuO2 crystal.

Polymorph energy (0 for the lowest one)   0.0 meV/atom
Density   7.94 g cm⁻³

a = 3.6092 Å, b = 3.6092 Å, c = 5.1184 Å
α = 90.00°, β = 90.00°, γ = 90.00°
Each line ends with the local moment (μB).
Fractional positions:
Ni (0.0000, 0.0000, 0.0000)  0.46
Au (0.5000, 0.5000, 0.5000)  0.00
O (0.0000, 0.5000, 0.0000)  0.36
O (0.5000, 0.0000, 0.0000)  0.36
P (0.0000, 0.0000, 0.5000)  0.00